Below is an optimized crystal structure of KMn2Ir, with properties calculated at the PBE level.

Values from the calculation:
Space-group type ... P4/mmm, No. 123
Energy of formation from the pure elements ... 0.4930 eV/atom
Calculated volume ... 21.662 A^3/atom
ΔE to the lowest computed polymorph ... 0 meV per atom

abc: 3.1483 3.1483 8.7420
angles: 90.00 90.00 90.00
With the nearest neighbours (Å) after each atom.
Fractional coordinates of all 4 atoms:
Mn  0.0000  0.0000  0.4146  4 Ir 2.65, 1 Mn 2.88
Mn  0.0000  0.0000  0.0854  4 Ir 2.65, 1 Mn 2.88
Ir  0.5000  0.5000  0.2500  8 Mn 2.65
K  0.5000  0.5000  0.7500  4 K 3.15

=====

Below is an optimized crystal structure of YPI2O, with properties calculated at the PBE level.

Values from the calculation:
Space-group type ... P4/mmm, No. 123
Calculated volume ... 24.518 A^3/atom
ΔE to the lowest computed polymorph ... 165 meV per atom
Raw formation energy ... -422 meV/atom

abc: 5.8332 5.8332 3.6028
angles: 90.00 90.00 90.00
With the nearest neighbours (Å) after each atom.
Fractional coordinates of all 5 atoms:
O  0.0000  0.0000  0.5000  2 P 1.80
P  0.0000  0.0000  0.0000  2 O 1.80
I  0.0000  0.5000  0.0000  2 P 2.92
I  0.5000  0.0000  0.0000  2 P 2.92
Y  0.5000  0.5000  0.5000  8 I 3.43, 2 Y 3.60

=====

Below is an optimized crystal structure of CdIn2Ni, with properties calculated at the PBE level.

Values from the calculation:
Space-group type ... P2_1/m, No. 11
Energy of formation from the pure elements ... -0.0238 eV/atom
Calculated volume ... 20.364 A^3/atom

abc: 3.9234 5.2472 8.5163
angles: 90.00 90.00 111.69
With the nearest neighbours (Å) after each atom.
Fractional coordinates of all 8 atoms:
Cd  0.0554  0.1142  0.7500  3 Ni 2.82-2.86
Cd  0.9446  0.8858  0.2500  3 Ni 2.82-2.86
Ni  0.2313  0.4636  0.2500  6 In 2.70-2.87, 3 Cd 2.82-2.86
Ni  0.7687  0.5364  0.7500  6 In 2.70-2.87, 3 Cd 2.82-2.86
In  0.6455  0.2889  0.0564  3 Ni 2.70-2.87, 3 In 2.98-3.00
In  0.6455  0.2889  0.4436  3 Ni 2.70-2.87, 3 In 2.98-3.00
In  0.3545  0.7111  0.5564  3 Ni 2.70-2.87, 3 In 2.98-3.00
In  0.3545  0.7111  0.9436  3 Ni 2.70-2.87, 3 In 2.98-3.00

=====

Below is an optimized crystal structure of Nd5DyPb5, with properties calculated at the PBE level.

Values from the calculation:
Space-group type ... C2/m, No. 12
Energy of formation from the pure elements ... -0.3203 eV/atom
Calculated volume ... 35.543 A^3/atom

abc: 6.4013 8.0645 8.6424
angles: 105.84 90.00 113.38
With the nearest neighbours (Å) after each atom.
Fractional coordinates of all 11 atoms:
Pb  0.5000  0.0000  0.0000  2 Dy 3.20, 4 Nd 3.21
Pb  0.1639  0.3278  0.8367  1 Dy 3.15, 5 Nd 3.19-3.24
Pb  0.8369  0.6738  0.6694  1 Dy 3.14, 5 Nd 3.17-3.23
Pb  0.1631  0.3262  0.3306  1 Dy 3.14, 5 Nd 3.17-3.23
Pb  0.8361  0.6722  0.1633  1 Dy 3.15, 5 Nd 3.19-3.24
Nd  0.3308  0.6616  0.6666  5 Pb 3.20-3.23
Nd  0.0000  0.0000  0.5000  4 Pb 3.17-3.19
Nd  0.6645  0.3289  0.8275  5 Pb 3.20-3.24
Nd  0.3355  0.6711  0.1725  5 Pb 3.20-3.24
Nd  0.6692  0.3384  0.3334  5 Pb 3.20-3.23
Dy  0.0000  0.0000  0.0000  6 Pb 3.14-3.20

=====

Below is an optimized crystal structure of CeTmSi2Pt4, with properties calculated at the PBE level.

Values from the calculation:
Space-group type ... P4/mmm, No. 123
Calculated volume ... 19.312 A^3/atom
Raw formation energy ... -928 meV/atom

abc: 4.0797 4.0797 9.2824
angles: 90.00 90.00 90.00
With the nearest neighbours (Å) after each atom.
Fractional coordinates of all 8 atoms:
Pt  0.5000  0.0000  0.2375  2 Si 2.41
Pt  0.0000  0.5000  0.2375  2 Si 2.41
Pt  0.5000  0.0000  0.7625  2 Si 2.41
Pt  0.0000  0.5000  0.7625  2 Si 2.41
Si  0.5000  0.5000  0.6235  1 Si 2.29, 4 Pt 2.41
Si  0.5000  0.5000  0.3765  1 Si 2.29, 4 Pt 2.41
Tm  0.0000  0.0000  0.5000  8 Si 3.10, 8 Pt 3.18
Ce  0.0000  0.0000  0.0000  8 Pt 3.00

=====

Below is an optimized crystal structure of Gd4CoAg2, with properties calculated at the PBE level.

Values from the calculation:
Space-group type ... I4/mmm, No. 139
Energy of formation from the pure elements ... -0.0840 eV/atom
Calculated volume ... 28.014 A^3/atom

abc: 5.0536 5.0536 8.4691
angles: 107.36 107.36 90.00
With the nearest neighbours (Å) after each atom.
Fractional coordinates of all 7 atoms:
Gd  0.0000  0.5000  0.0000  2 Co 2.53
Gd  0.5000  0.0000  0.0000  2 Co 2.53
Gd  0.8212  0.8212  0.6424  1 Co 2.75, 1 Ag 2.99
Gd  0.1788  0.1788  0.3576  1 Co 2.75, 1 Ag 2.99
Co  0.0000  0.0000  0.0000  6 Gd 2.53-2.75
Ag  0.3733  0.3733  0.7466  5 Gd 2.99-3.19
Ag  0.6267  0.6267  0.2534  5 Gd 2.99-3.19

=====

Below is an optimized crystal structure of LuAlNiHg, with properties calculated at the PBE level.

Values from the calculation:
Space-group type ... F-43m, No. 216
Energy of formation from the pure elements ... -0.3013 eV/atom
Calculated volume ... 18.129 A^3/atom

abc: 4.6808 4.6808 4.6808
angles: 60.00 60.00 60.00
With the nearest neighbours (Å) after each atom.
Fractional coordinates of all 4 atoms:
Lu  0.5000  0.5000  0.5000  4 Hg 2.87, 4 Ni 2.87
Hg  0.7500  0.7500  0.7500  4 Al 2.87, 4 Lu 2.87
Ni  0.2500  0.2500  0.2500  4 Al 2.87, 4 Lu 2.87
Al  0.0000  0.0000  0.0000  4 Hg 2.87, 4 Ni 2.87

=====

Below is an optimized crystal structure of Cd2Mo2Rh, with properties calculated at the PBE level.

Values from the calculation:
Space-group type ... I4/mmm, No. 139
Energy of formation from the pure elements ... 0.8443 eV/atom
Calculated volume ... 19.522 A^3/atom
ΔE to the lowest computed polymorph ... 240 meV per atom

abc: 3.7132 3.7132 7.5504
angles: 75.77 75.77 90.00
With the nearest neighbours (Å) after each atom.
Fractional coordinates of all 5 atoms:
Mo  0.4215  0.4215  0.1571  1 Mo 2.22
Mo  0.5785  0.5785  0.8429  1 Mo 2.22
Cd  0.2500  0.7500  0.5000  4 Cd 2.63
Cd  0.7500  0.2500  0.5000  4 Cd 2.63
Rh  0.0000  0.0000  0.0000  8 Mo 2.85

=====

Below is an optimized crystal structure of Pa2TcSe, with properties calculated at the PBE level.

Values from the calculation:
Space-group type ... P4/mmm, No. 123
Calculated volume ... 20.979 A^3/atom
ΔE to the lowest computed polymorph ... 37 meV per atom
Raw formation energy ... -620 meV/atom

abc: 3.2915 3.2915 7.7457
angles: 90.00 90.00 90.00
With the nearest neighbours (Å) after each atom.
Fractional coordinates of all 4 atoms:
Se  0.5000  0.5000  0.5000  8 Pa 3.09, 4 Se 3.29
Tc  0.5000  0.5000  0.0000  8 Pa 2.97, 4 Tc 3.29
Pa  0.0000  0.0000  0.7623  4 Tc 2.97, 4 Se 3.09, 4 Pa 3.29
Pa  0.0000  0.0000  0.2377  4 Tc 2.97, 4 Se 3.09, 4 Pa 3.29

=====

Below is an optimized crystal structure of Zn3IF, with properties calculated at the PBE level.

Values from the calculation:
Space-group type ... Pm-3m, No. 221
Calculated volume ... 37.843 A^3/atom
ΔE to the lowest computed polymorph ... 438 meV per atom
Raw formation energy ... 330 meV/atom

abc: 5.7410 5.7410 5.7410
angles: 90.00 90.00 90.00
With the nearest neighbours (Å) after each atom.
Fractional coordinates of all 5 atoms:
Zn  0.0000  0.5000  0.0000  2 I 2.87
Zn  0.0000  0.0000  0.5000  2 I 2.87
Zn  0.5000  0.0000  0.0000  2 I 2.87
I  0.0000  0.0000  0.0000  6 Zn 2.87
F  0.5000  0.5000  0.5000  12 Zn 4.06

=====

Below is an optimized crystal structure of ScGe2S, with properties calculated at the PBE level.

Values from the calculation:
Space-group type ... I-42d, No. 122
Calculated volume ... 19.554 A^3/atom
Raw formation energy ... -169 meV/atom

abc: 7.7030 7.7030 6.0513
angles: 50.47 50.47 90.00
With the nearest neighbours (Å) after each atom.
Fractional coordinates of all 8 atoms:
Ge  0.1434  0.6250  0.2500  2 Ge 2.65, 2 S 2.71, 2 Sc 2.90
Ge  0.3750  0.3934  0.7500  2 Ge 2.65, 2 S 2.71, 2 Sc 2.90
Ge  0.8750  0.8566  0.7500  2 Ge 2.65, 2 S 2.71, 2 Sc 2.90
Ge  0.6066  0.1250  0.2500  2 Ge 2.65, 2 S 2.71, 2 Sc 2.90
S  0.2500  0.7500  0.5000  2 Sc 2.64, 4 Ge 2.71
S  0.5000  0.5000  0.0000  2 Sc 2.64, 4 Ge 2.71
Sc  0.0000  0.0000  0.0000  2 S 2.64, 4 Ge 2.90
Sc  0.7500  0.2500  0.5000  2 S 2.64, 4 Ge 2.90

=====

Below is an optimized crystal structure of ZrHPt, with properties calculated at the PBE level.

Values from the calculation:
Space-group type ... C2/m, No. 12
Calculated volume ... 13.804 A^3/atom
ΔE to the lowest computed polymorph ... 113 meV per atom

abc: 4.4050 3.5801 10.5114
angles: 90.00 92.18 90.00
With the nearest neighbours (Å) after each atom.
Fractional coordinates of all 12 atoms:
H  0.0368  0.5000  0.6980  1 Pt 1.75
H  0.9632  0.5000  0.3020  1 Pt 1.75
H  0.9632  0.0000  0.8020  1 Pt 1.75
H  0.0368  0.0000  0.1980  1 Pt 1.75
Pt  0.2567  0.0000  0.9191  1 H 1.75
Pt  0.7433  0.0000  0.0809  1 H 1.75
Pt  0.2567  0.5000  0.4191  1 H 1.75
Pt  0.7433  0.5000  0.5809  1 H 1.75
Zr  0.2676  0.0000  0.6380  3 H 2.16-2.22
Zr  0.7324  0.5000  0.8620  3 H 2.16-2.22
Zr  0.2676  0.5000  0.1380  3 H 2.16-2.22
Zr  0.7324  0.0000  0.3620  3 H 2.16-2.22

=====

So what do the calculations give for density? Going down the list: 6.54, 5.28, 8.17, 8.15, 12.31, 7.65, 10.56, 8.84, 12.65, 3.00, 4.72, 11.52 g/cm3.
So what do the calculations give for size of the total moment? Going down the list: 2.212, 0.000, 0.000, 0.054, 0.081, 4.291, 0.000, 0.000, 0.000, 0.000, 0.000, 0.000 μB/atom.
So what do the calculations give for final energy? Going down the list: -0.4837, -0.3240, -0.2254, -0.3375, -0.4855, -0.7320, -0.2858, -0.3913, -0.6490, -0.0822, -0.3743, -0.4916 Ry/atom.